Material: P3RhCl
Method: DFT, PBE
State: relaxed

Crystal system: cubic
Energy above the most stable polymorph in this dataset in meV per atom: 748
Total magnetization in μB per cell: 0.000

Structure (CIF):
```
data_P3RhCl
_chemical_formula_sum 'P3 Rh1 Cl1'
_space_group_name_H-M_alt 'P 1'
_space_group_IT_number 1
_space_group_name_Hall 'P 1'
_cell_length_a 4.427
_cell_length_b 4.427
_cell_length_c 4.427
_cell_angle_alpha 90.00
_cell_angle_beta 90.00
_cell_angle_gamma 90.00
loop_
_atom_site_label
_atom_site_type_symbol
_atom_site_fract_x
_atom_site_fract_y
_atom_site_fract_z
P1 P 0.000 0.500 0.000
P2 P 0.000 0.000 0.500
P3 P 0.500 0.000 0.000
Cl1 Cl 0.000 0.000 0.000
Rh1 Rh 0.500 0.500 0.500
```

Material: Nd3InBi2
Method: DFT, PBE
State: relaxed

Energy of formation from the pure elements in eV per atom: -0.673
Crystal system: orthorhombic
Total magnetization in μB per cell: 0.000

Structure (CIF):
```
data_Nd3InBi2
_chemical_formula_sum 'Nd6 In2 Bi4'
_space_group_name_H-M_alt 'P 1'
_space_group_IT_number 1
_space_group_name_Hall 'P 1'
_cell_length_a 6.471
_cell_length_b 9.047
_cell_length_c 8.034
_cell_angle_alpha 106.35
_cell_angle_beta 113.75
_cell_angle_gamma 90.00
loop_
_atom_site_label
_atom_site_type_symbol
_atom_site_fract_x
_atom_site_fract_y
_atom_site_fract_z
In1 In 0.000 0.250 0.000
In2 In 0.000 0.750 0.000
Nd1 Nd 0.172 0.086 0.344
Nd2 Nd 0.500 0.250 0.000
Nd3 Nd 0.500 0.750 0.000
Nd4 Nd 0.172 0.586 0.344
Nd5 Nd 0.828 0.414 0.656
Nd6 Nd 0.828 0.914 0.656
Bi1 Bi 0.665 0.583 0.331
Bi2 Bi 0.335 0.417 0.669
Bi3 Bi 0.666 0.083 0.331
Bi4 Bi 0.334 0.917 0.669
```

Material: TaIn2Sb
Method: DFT, PBE
State: relaxed

Calculated total energy in eV/atom: -4.934
Crystal system: tetragonal
Total magnetization in μB per cell: 0.000

Structure (CIF):
```
data_TaIn2Sb
_chemical_formula_sum 'Ta1 In2 Sb1'
_space_group_name_H-M_alt 'P 1'
_space_group_IT_number 1
_space_group_name_Hall 'P 1'
_cell_length_a 5.364
_cell_length_b 5.364
_cell_length_c 3.184
_cell_angle_alpha 90.00
_cell_angle_beta 90.00
_cell_angle_gamma 90.00
loop_
_atom_site_label
_atom_site_type_symbol
_atom_site_fract_x
_atom_site_fract_y
_atom_site_fract_z
Sb1 Sb 0.500 0.000 0.500
In1 In 0.000 0.000 0.000
In2 In 0.500 0.500 0.000
Ta1 Ta 0.000 0.500 0.500
```

Material: SrCdAu2
Method: DFT, PBE
State: relaxed

Energy of formation from the pure elements in eV per atom: -0.407
Crystal system: tetragonal
Total magnetization in μB per cell: 0.000

Structure (CIF):
```
data_SrCdAu2
_chemical_formula_sum 'Sr1 Cd1 Au2'
_space_group_name_H-M_alt 'P 1'
_space_group_IT_number 1
_space_group_name_Hall 'P 1'
_cell_length_a 5.546
_cell_length_b 5.546
_cell_length_c 5.546
_cell_angle_alpha 130.90
_cell_angle_beta 130.90
_cell_angle_gamma 71.97
loop_
_atom_site_label
_atom_site_type_symbol
_atom_site_fract_x
_atom_site_fract_y
_atom_site_fract_z
Sr1 Sr 0.750 0.250 0.500
Cd1 Cd 0.500 0.500 0.000
Au1 Au 0.250 0.750 0.500
Au2 Au 0.000 0.000 0.000
```

Material: Ac3TaN6
Method: DFT, PBE
State: relaxed

Calculated total energy in eV/atom: -7.996
Crystal system: monoclinic
Total magnetization in μB per cell: 3.926

Structure (CIF):
```
data_Ac3TaN6
_chemical_formula_sum 'Ac3 Ta1 N6'
_space_group_name_H-M_alt 'P 1'
_space_group_IT_number 1
_space_group_name_Hall 'P 1'
_cell_length_a 6.296
_cell_length_b 6.130
_cell_length_c 6.130
_cell_angle_alpha 59.76
_cell_angle_beta 62.39
_cell_angle_gamma 62.39
loop_
_atom_site_label
_atom_site_type_symbol
_atom_site_fract_x
_atom_site_fract_y
_atom_site_fract_z
N1 N 0.649 0.809 0.337
N2 N 0.171 0.716 0.716
N3 N 0.351 0.663 0.191
N4 N 0.829 0.284 0.284
N5 N 0.649 0.337 0.809
N6 N 0.351 0.191 0.663
Ac1 Ac 0.715 0.759 0.759
Ac2 Ac 0.000 0.000 0.000
Ac3 Ac 0.285 0.241 0.241
Ta1 Ta 0.500 0.500 0.500
```

Material: PmGeIrO
Method: DFT, PBE
State: relaxed

Calculated total energy in eV/atom: -7.581
Crystal system: tetragonal
Total magnetization in μB per cell: 0.000

Structure (CIF):
```
data_PmGeIrO
_chemical_formula_sum 'Pm2 Ge2 Ir2 O2'
_space_group_name_H-M_alt 'P 1'
_space_group_IT_number 1
_space_group_name_Hall 'P 1'
_cell_length_a 4.113
_cell_length_b 4.113
_cell_length_c 8.391
_cell_angle_alpha 90.00
_cell_angle_beta 90.00
_cell_angle_gamma 90.00
loop_
_atom_site_label
_atom_site_type_symbol
_atom_site_fract_x
_atom_site_fract_y
_atom_site_fract_z
Ge1 Ge 0.500 0.000 0.163
Ge2 Ge 0.000 0.500 0.837
O1 O 0.500 0.500 0.500
O2 O 0.000 0.000 0.500
Pm1 Pm 0.500 0.000 0.634
Pm2 Pm 0.000 0.500 0.366
Ir1 Ir 0.500 0.500 0.000
Ir2 Ir 0.000 0.000 0.000
```

Material: IrPd2AuS
Method: DFT, PBE
State: relaxed

Calculated total energy in eV/atom: -3.975
Crystal system: tetragonal
Total magnetization in μB per cell: 0.000

Structure (CIF):
```
data_IrPd2AuS
_chemical_formula_sum 'Ir1 Pd2 Au1 S1'
_space_group_name_H-M_alt 'P 1'
_space_group_IT_number 1
_space_group_name_Hall 'P 1'
_cell_length_a 4.800
_cell_length_b 5.054
_cell_length_c 4.800
_cell_angle_alpha 90.00
_cell_angle_beta 90.00
_cell_angle_gamma 90.00
loop_
_atom_site_label
_atom_site_type_symbol
_atom_site_fract_x
_atom_site_fract_y
_atom_site_fract_z
Pd1 Pd 0.500 0.000 0.000
Pd2 Pd 0.000 0.000 0.500
Ir1 Ir 0.000 0.000 0.000
Au1 Au 0.000 0.500 0.000
S1 S 0.500 0.500 0.500
```

Material: La4CdRh
Method: DFT, PBE
State: relaxed

Energy of formation from the pure elements in eV per atom: -0.359
Crystal system: monoclinic
Energy above the most stable polymorph in this dataset in meV per atom: 85
Total magnetization in μB per cell: 0.000

Structure (CIF):
```
data_La4CdRh
_chemical_formula_sum 'La8 Cd2 Rh2'
_space_group_name_H-M_alt 'P 1'
_space_group_IT_number 1
_space_group_name_Hall 'P 1'
_cell_length_a 6.253
_cell_length_b 8.648
_cell_length_c 8.452
_cell_angle_alpha 113.56
_cell_angle_beta 102.43
_cell_angle_gamma 107.60
loop_
_atom_site_label
_atom_site_type_symbol
_atom_site_fract_x
_atom_site_fract_y
_atom_site_fract_z
La1 La 0.647 0.073 0.375
La2 La 0.228 0.302 0.375
La3 La 0.047 0.196 0.851
La4 La 0.304 0.654 0.851
La5 La 0.953 0.804 0.149
La6 La 0.353 0.927 0.625
La7 La 0.696 0.346 0.149
La8 La 0.772 0.698 0.625
Cd1 Cd 0.633 0.383 0.766
Cd2 Cd 0.367 0.617 0.234
Rh1 Rh 0.248 0.998 0.995
Rh2 Rh 0.752 0.002 0.005
```

Q: Number 1 is which compound?
A: P3RhCl